Entry 1:
The following is a GGA-PBE calculation of a relaxed structure of V6GaFe3, from Alexandria.

a = 7.1358 Å, b = 7.1358 Å, c = 5.1712 Å
α = 90.00°, β = 90.00°, γ = 88.19°
Positions (direct):
1 V 0.0046 0.9954 0.5000
2 V 0.0763 0.4603 0.4903
3 V 0.2230 0.7770 0.7494
4 V 0.2724 0.4551 0.9980
5 V 0.4551 0.2724 0.4980
6 V 0.4603 0.0763 0.9903
7 V 0.5397 0.9237 0.4903
8 V 0.5449 0.7276 0.9980
9 V 0.7276 0.5449 0.4980
10 V 0.7770 0.2230 0.2494
11 V 0.9237 0.5397 0.9903
12 V 0.9954 0.0046 0.0000
13 Ga 0.2213 0.7787 0.2373
14 Ga 0.7787 0.2213 0.7373
15 Fe 0.1912 0.1915 0.7471
16 Fe 0.1915 0.1912 0.2471
17 Fe 0.4137 0.5863 0.5098
18 Fe 0.5863 0.4137 0.0098
19 Fe 0.8085 0.8088 0.7471
20 Fe 0.8088 0.8085 0.2471

Values from the calculation:
Total magnetization in Bohr magnetons per cell: 0.0
DOS(E_F) in states/eV/cell: 17.809
DFT total energy in eV/cell: -164.0

Entry 2:
The following is a GGA-PBE calculation of a relaxed structure of Ta4Be, from Alexandria.

a = 4.4379 Å, b = 4.4379 Å, c = 4.4379 Å
α = 90.00°, β = 90.00°, γ = 90.00°
Positions (direct):
1 Ta 0.0000 0.0000 0.0000
2 Ta 0.0000 0.5000 0.5000
3 Ta 0.5000 0.0000 0.5000
4 Ta 0.5000 0.5000 0.0000
5 Be 0.5000 0.5000 0.5000

Values from the calculation:
Total magnetization in Bohr magnetons per cell: 0.0
DOS(E_F) in states/eV/cell: 2.408
DFT total energy in eV/cell: -48.5

Entry 3:
The following is a GGA-PBE calculation of a relaxed structure of V4Fe2N, from Alexandria.

a = 6.5331 Å, b = 6.5331 Å, c = 6.5331 Å
α = 146.23°, β = 146.23°, γ = 48.51°
Positions (direct):
1 V 0.0000 0.5000 0.5000
2 V 0.1825 0.1825 0.0000
3 V 0.5000 0.0000 0.5000
4 V 0.8175 0.8175 0.0000
5 Fe 0.3568 0.3568 0.0000
6 Fe 0.6432 0.6432 0.0000
7 N 0.0000 0.0000 0.0000

Values from the calculation:
Total magnetization in Bohr magnetons per cell: 0.0
DOS(E_F) in states/eV/cell: 5.082
DFT total energy in eV/cell: -62.6

Entry 4:
The following is a GGA-PBE calculation of a relaxed structure of Hf4Si7Ni4, from Alexandria.

a = 9.4771 Å, b = 9.4771 Å, c = 9.4771 Å
α = 94.16°, β = 94.16°, γ = 148.74°
Positions (direct):
1 Hf 0.0000 0.1944 0.1944
2 Hf 0.0000 0.8056 0.8056
3 Hf 0.1944 0.0000 0.1944
4 Hf 0.3632 0.3632 0.7264
5 Hf 0.3632 0.6368 0.0000
6 Hf 0.6368 0.3632 0.0000
7 Hf 0.6368 0.6368 0.2736
8 Hf 0.8056 0.0000 0.8056
9 Si 0.0000 0.4087 0.4087
10 Si 0.0000 0.5913 0.5913
11 Si 0.2044 0.5000 0.7044
12 Si 0.2087 0.2087 0.4174
13 Si 0.2087 0.7913 0.0000
14 Si 0.2500 0.2500 0.0000
15 Si 0.4087 0.0000 0.4087
16 Si 0.5000 0.2044 0.7044
17 Si 0.5000 0.7956 0.2956
18 Si 0.5913 0.0000 0.5913
19 Si 0.7500 0.7500 0.0000
20 Si 0.7913 0.2087 0.0000
21 Si 0.7913 0.7913 0.5826
22 Si 0.7956 0.5000 0.2956
23 Ni 0.1031 0.6031 0.2062
24 Ni 0.1031 0.8969 0.5000
25 Ni 0.3969 0.6031 0.5000
26 Ni 0.3969 0.8969 0.7938
27 Ni 0.6031 0.1031 0.2062
28 Ni 0.6031 0.3969 0.5000
29 Ni 0.8969 0.1031 0.5000
30 Ni 0.8969 0.3969 0.7938

Values from the calculation:
Total magnetization in Bohr magnetons per cell: 0.0
DOS(E_F) in states/eV/cell: 12.509
DFT total energy in eV/cell: -224.0

Entry 5:
The following is a GGA-PBE calculation of a relaxed structure of VGaSi2Ni, from Alexandria.

a = 4.2075 Å, b = 4.2075 Å, c = 4.6947 Å
α = 90.00°, β = 90.00°, γ = 90.00°
Positions (direct):
1 V 0.0000 0.0000 0.0000
2 Ga 0.5000 0.5000 0.0000
3 Si 0.0000 0.5000 0.5000
4 Si 0.5000 0.0000 0.5000
5 Ni 0.0000 0.0000 0.5000

Values from the calculation:
Total magnetization in Bohr magnetons per cell: 0.0
DOS(E_F) in states/eV/cell: 4.021
DFT total energy in eV/cell: -26.5

Entry 6:
The following is a GGA-PBE calculation of a relaxed structure of PaTlInCl6, from Alexandria.

a = 7.8166 Å, b = 7.8166 Å, c = 12.6918 Å
α = 90.00°, β = 90.00°, γ = 120.00°
Positions (direct):
1 Pa 0.3333 0.6667 0.2500
2 Pa 0.6667 0.3333 0.7500
3 Tl 0.0000 0.0000 0.0000
4 Tl 0.0000 0.0000 0.5000
5 In 0.3333 0.6667 0.7500
6 In 0.6667 0.3333 0.2500
7 Cl 0.0508 0.3869 0.1318
8 Cl 0.0508 0.6639 0.3682
9 Cl 0.3361 0.3869 0.3682
10 Cl 0.3361 0.9492 0.1318
11 Cl 0.3869 0.0508 0.6318
12 Cl 0.3869 0.3361 0.8682
13 Cl 0.6131 0.6639 0.1318
14 Cl 0.6131 0.9492 0.3682
15 Cl 0.6639 0.0508 0.8682
16 Cl 0.6639 0.6131 0.6318
17 Cl 0.9492 0.3361 0.6318
18 Cl 0.9492 0.6131 0.8682

Values from the calculation:
Total magnetization in Bohr magnetons per cell: 2.0
DOS(E_F) in states/eV/cell: 0.179
DFT total energy in eV/cell: -78.4

Among the records above, which one has the highest DOS(E_F)?
V6GaFe3

Among the records above, which one has the lowest DFT total energy?
Hf4Si7Ni4

Which of these has the highest DFT total energy?
VGaSi2Ni

DOS(E_F) of number 6 (PaTlInCl6)?
0.179 states/eV/cell